No. 1
Compound: Na13Pd2
Source: the Alexandria database
Functional: PBE-GGA
Structure: optimized geometry

Summary:
Crystal system ... triclinic
Total moment ... 0.00 μB/cell
Formation energy from the elements ... -13 meV per atom

a = 6.8046 Å, b = 8.1886 Å, c = 9.4153 Å
α = 113.42°, β = 90.24°, γ = 102.08°
Last column: nearest neighbours and their distance in Å.
Space group P-1 (No. 2)
Inequivalent atoms, fractional coordinates:
Na: 0.0000 0.0000 0.0000 x1  2 Pd 2.95
Na: 0.0492 0.4348 0.6322 x2  2 Pd 3.02-3.09, 2 Na 3.19-3.35
Na: 0.1668 0.9854 0.6559 x2  1 Pd 3.05, 2 Na 3.38-3.40
Na: 0.2267 0.4232 0.0395 x2  1 Pd 3.15, 2 Na 3.36-3.41
Na: 0.2890 0.9188 0.2603 x2  1 Pd 3.02, 1 Na 3.38
Na: 0.4309 0.7714 0.8594 x2  1 Pd 3.00, 1 Na 3.35
Na: 0.4825 0.6555 0.4391 x2  2 Pd 3.05-3.06, 1 Na 3.23
Pd: 0.1947 0.2795 0.3051 x2  9 Na 2.95-3.15

***

No. 2
Compound: NaPd
Source: the Alexandria database
Functional: PBE-GGA
Structure: optimized geometry

Summary:
Crystal system ... cubic
Total moment ... 0.00 μB/cell
Formation energy from the elements ... 794 meV per atom

a = 6.2554 Å, b = 6.2554 Å, c = 6.2554 Å
α = 90.00°, β = 90.00°, γ = 90.00°
Last column: nearest neighbours and their distance in Å.
Space group F-43m (No. 216)
Inequivalent atoms, fractional coordinates:
Na: 0.0000 0.0000 0.0000 x4  4 Pd 2.71
Pd: 0.2500 0.2500 0.7500 x4  4 Na 2.71

***

No. 3
Compound: NaPd7
Source: the Alexandria database
Functional: PBE-GGA
Structure: optimized geometry

Summary:
Crystal system ... cubic
Total moment ... 0.00 μB/cell
Formation energy from the elements ... -43 meV per atom

a = 7.9339 Å, b = 7.9339 Å, c = 7.9339 Å
α = 90.00°, β = 90.00°, γ = 90.00°
Last column: nearest neighbours and their distance in Å.
Space group Fm-3m (No. 225)
Inequivalent atoms, fractional coordinates:
Na: 0.0000 0.0000 0.0000 x4  12 Pd 2.81
Pd: 0.0000 0.0000 0.5000 x4  12 Pd 2.81
Pd: 0.0000 0.2500 0.2500 x24  2 Na 2.81, 10 Pd 2.81